[1]
10
Lattice="8.338 0.000 0.000 0.000 8.338 0.000 0.000 0.000 3.226" Properties=species:S:1:pos:R:3 comment="Ca2AgPd2, relaxed, DFT PBE-GGA" sg=P4/mbm energy_ev_per_atom=-3.77 e_above_lowest_polymorph_mev_per_atom=284 pbc="T T T"
Ca 2.812 6.981 0.000
Ca 6.981 5.526 0.000
Ca 5.526 1.357 0.000
Ca 1.357 2.812 0.000
Pd 1.101 5.270 1.613
Pd 5.270 7.237 1.613
Pd 7.237 3.068 1.613
Pd 3.068 1.101 1.613
Ag 0.000 0.000 0.000
Ag 4.169 4.169 0.000

[2]
4
Lattice="4.017 0.000 0.000 0.000 4.685 0.000 0.000 0.000 4.685" Properties=species:S:1:pos:R:3 comment="HoCdAg2, relaxed, DFT PBE-GGA" sg=P4/mmm energy_ev_per_atom=-2.95 e_above_lowest_polymorph_mev_per_atom=124 pbc="T T T"
Ho 2.008 2.343 2.343
Ag 0.000 0.000 2.343
Ag 0.000 2.343 0.000
Cd 2.008 0.000 0.000

[3]
8
Lattice="-2.987 -1.858 -2.827 5.845 -2.390 -4.606 -1.511 -6.543 5.896" Properties=species:S:1:pos:R:3 comment="Rb2TbTmTe4, relaxed, DFT PBE-GGA" raw_formation_energy_mev_per_atom=-1373.5 sg=P2/m energy_ev_per_atom=-4.32 pbc="T T T"
Rb -2.249 -4.201 1.534
Rb 2.167 -4.467 0.645
Tb 1.429 -2.124 -3.717
Tm 0.000 0.000 0.000
Te -0.453 -2.769 -1.304
Te 1.800 -8.022 -0.234
Te 0.331 -5.870 3.507
Te 4.003 -3.063 -2.217